# Pm8GeC3Br4, optimized geometry, DFT PBE
data_Pm8GeC3Br4
_cell_length_a 7.8509
_cell_length_b 7.8509
_cell_length_c 22.0873
_cell_angle_alpha 90.00
_cell_angle_beta 90.00
_cell_angle_gamma 120.00
_symmetry_space_group_name_H-M 'R -3 m'
_symmetry_Int_Tables_number 166
_symmetry_space_group_name_Hall '-R 3 2"'
loop_
_atom_site_label
_atom_site_type_symbol
_atom_site_fract_x
_atom_site_fract_y
_atom_site_fract_z
Pm1 Pm 0.0000 0.0000 0.2269
Pm2 Pm 0.0259 0.5130 0.7702
Ge1 Ge 0.0000 0.0000 0.5000
C1 C 0.0000 0.5000 0.5000
Br1 Br 0.0000 0.0000 0.0000
Br2 Br 0.0000 0.5000 0.0000
# formation energy (no corrections) = -14.89 eV per formula unit
# M_tot = 0.0 μB/f.u.


# Ce4CdRu, optimized geometry, DFT PBE
data_Ce4CdRu
_cell_length_a 13.6743
_cell_length_b 13.6743
_cell_length_c 13.6743
_cell_angle_alpha 90.00
_cell_angle_beta 90.00
_cell_angle_gamma 90.00
_symmetry_space_group_name_H-M 'F -4 3 m'
_symmetry_Int_Tables_number 216
_symmetry_space_group_name_Hall 'F -4 2 3'
loop_
_atom_site_label
_atom_site_type_symbol
_atom_site_fract_x
_atom_site_fract_y
_atom_site_fract_z
Ce1 Ce 0.0000 0.0000 0.1898
Ce2 Ce 0.0583 0.2500 0.2500
Ce3 Ce 0.0980 0.0980 0.5980
Cd1 Cd 0.1708 0.1708 0.8292
Ru1 Ru 0.1135 0.1135 0.3865
# M_tot = 3.8 μB/f.u.
# formation energy from the elements = -0.1851 eV/atom
# E above lowest polymorph = 0.00 eV/f.u.


# RbSiTe2I, optimized geometry, DFT PBE
data_RbSiTe2I
_cell_length_a 6.6749
_cell_length_b 6.6749
_cell_length_c 6.5469
_cell_angle_alpha 90.00
_cell_angle_beta 90.00
_cell_angle_gamma 90.00
_symmetry_space_group_name_H-M 'P 4/m m m'
_symmetry_Int_Tables_number 123
_symmetry_space_group_name_Hall '-P 4 2'
loop_
_atom_site_label
_atom_site_type_symbol
_atom_site_fract_x
_atom_site_fract_y
_atom_site_fract_z
Rb1 Rb 0.0000 0.0000 0.0000
Si1 Si 0.5000 0.5000 0.5000
Te1 Te 0.0000 0.5000 0.0000
I1 I 0.0000 0.0000 0.5000
# formation energy (no corrections) = 5.49 eV per formula unit
# M_tot = 2.0 μB/f.u.
# E above lowest polymorph = 6.80 eV/f.u.


# V3NiIr, optimized geometry, DFT PBE
data_V3NiIr
_cell_length_a 4.5573
_cell_length_b 4.5573
_cell_length_c 4.5573
_cell_angle_alpha 90.00
_cell_angle_beta 90.00
_cell_angle_gamma 90.00
_symmetry_space_group_name_H-M 'P m -3 m'
_symmetry_Int_Tables_number 221
_symmetry_space_group_name_Hall '-P 4 2 3'
loop_
_atom_site_label
_atom_site_type_symbol
_atom_site_fract_x
_atom_site_fract_y
_atom_site_fract_z
V1 V 0.0000 0.0000 0.5000
Ni1 Ni 0.5000 0.5000 0.5000
Ir1 Ir 0.0000 0.0000 0.0000
# M_tot = 1.2 μB/f.u.
# formation energy from the elements = 1.1961 eV/atom
# E above lowest polymorph = 1.83 eV/f.u.


# KY2Au, optimized geometry, DFT PBE
data_KY2Au
_cell_length_a 4.0243
_cell_length_b 4.0243
_cell_length_c 32.3730
_cell_angle_alpha 90.00
_cell_angle_beta 90.00
_cell_angle_gamma 120.00
_symmetry_space_group_name_H-M 'R -3 m'
_symmetry_Int_Tables_number 166
_symmetry_space_group_name_Hall '-R 3 2"'
loop_
_atom_site_label
_atom_site_type_symbol
_atom_site_fract_x
_atom_site_fract_y
_atom_site_fract_z
K1 K 0.0000 0.0000 0.0000
Y1 Y 0.0000 0.0000 0.2205
Au1 Au 0.0000 0.0000 0.5000
# M_tot = 0.0 μB/f.u.
# formation energy from the elements = -0.1407 eV/atom
# E above lowest polymorph = 0.19 eV/f.u.


# Ac2CePa, optimized geometry, DFT PBE
data_Ac2CePa
_cell_length_a 3.5386
_cell_length_b 3.5386
_cell_length_c 38.3382
_cell_angle_alpha 90.00
_cell_angle_beta 90.00
_cell_angle_gamma 120.00
_symmetry_space_group_name_H-M 'R -3 m'
_symmetry_Int_Tables_number 166
_symmetry_space_group_name_Hall '-R 3 2"'
loop_
_atom_site_label
_atom_site_type_symbol
_atom_site_fract_x
_atom_site_fract_y
_atom_site_fract_z
Ac1 Ac 0.0000 0.0000 0.0870
Ce1 Ce 0.0000 0.0000 0.5000
Pa1 Pa 0.0000 0.0000 0.0000
# M_tot = 0.6 μB/f.u.
# formation energy from the elements = 0.5363 eV/atom


# Cs4OsO5, optimized geometry, DFT PBE
data_Cs4OsO5
_cell_length_a 8.9798
_cell_length_b 8.9798
_cell_length_c 6.1051
_cell_angle_alpha 90.00
_cell_angle_beta 90.00
_cell_angle_gamma 90.00
_symmetry_space_group_name_H-M 'I 4'
_symmetry_Int_Tables_number 79
loop_
_symmetry_equiv_pos_as_xyz
'x,y,z'
'-y,x,z'
'-x,-y,z'
'y,-x,z'
'x+1/2,y+1/2,z+1/2'
'-y+1/2,x+1/2,z+1/2'
'-x+1/2,-y+1/2,z+1/2'
'y+1/2,-x+1/2,z+1/2'
loop_
_atom_site_label
_atom_site_type_symbol
_atom_site_fract_x
_atom_site_fract_y
_atom_site_fract_z
Cs1 Cs 0.1121 0.7028 0.0000
Os1 Os 0.0000 0.0000 0.5470
O1 O 0.0000 0.0000 0.8459
O2 O 0.0657 0.7998 0.4795
# formation energy (no corrections) = -12.78 eV per formula unit
# M_tot = 2.0 μB/f.u.


# Sr2CaBr6, optimized geometry, DFT PBE
data_Sr2CaBr6
_cell_length_a 7.3908
_cell_length_b 7.7404
_cell_length_c 12.5406
_cell_angle_alpha 90.00
_cell_angle_beta 118.61
_cell_angle_gamma 90.00
_symmetry_space_group_name_H-M 'P 1 21/c 1'
_symmetry_Int_Tables_number 14
loop_
_symmetry_equiv_pos_as_xyz
'x,y,z'
'-x,-y,-z'
'-x,y+1/2,-z+1/2'
'x,-y+1/2,z+1/2'
loop_
_atom_site_label
_atom_site_type_symbol
_atom_site_fract_x
_atom_site_fract_y
_atom_site_fract_z
Sr1 Sr 0.1743 0.0974 0.2238
Ca1 Ca 0.5000 0.0000 0.0000
Br1 Br 0.1277 0.1887 0.9420
Br2 Br 0.2319 0.6928 0.9090
Br3 Br 0.4306 0.0716 0.7598
# formation energy (no corrections) = -18.65 eV per formula unit
# M_tot = 0.0 μB/f.u.


Which value of M_tot does entry 6 give?
0.6 μB/f.u.


What is the M_tot in the third record?
2.0 μB/f.u.